Record 1
# GaCCl2 | the Alexandria database | PBE-GGA | optimized geometry
data_GaCCl2
_cell_length_a 6.7277
_cell_length_b 6.7277
_cell_length_c 6.7277
_cell_angle_alpha 90.00
_cell_angle_beta 90.00
_cell_angle_gamma 90.00
_space_group_name_H-M_alt 'F m -3 m'
_space_group_IT_number 225
_space_group_name_Hall '-F 4 2 3'
loop_
_atom_site_label
_atom_site_fract_x
_atom_site_fract_y
_atom_site_fract_z
Ga1 0.0000 0.0000 0.0000
C1 0.0000 0.0000 0.5000
Cl1 0.2500 0.2500 0.2500
# Raw formation energy (eV/atom): 1.381
# E above lowest polymorph (eV per formula unit): 1.28

=====

Record 2
# Ga2CCl2 | the Alexandria database | PBE-GGA | optimized geometry
data_Ga2CCl2
_cell_length_a 5.4975
_cell_length_b 5.4975
_cell_length_c 6.3497
_cell_angle_alpha 90.00
_cell_angle_beta 90.00
_cell_angle_gamma 90.00
_space_group_name_H-M_alt 'I 4/m m m'
_space_group_IT_number 139
_space_group_name_Hall '-I 4 2'
loop_
_atom_site_label
_atom_site_fract_x
_atom_site_fract_y
_atom_site_fract_z
Ga1 0.0000 0.0000 0.1976
C1 0.0000 0.0000 0.5000
Cl1 0.0000 0.5000 0.2500
# Raw formation energy (eV/atom): 0.503
# E above lowest polymorph (eV per formula unit): 0.36

=====

Record 3
# Ga3CCl | the Alexandria database | PBE-GGA | optimized geometry
data_Ga3CCl
_cell_length_a 4.5783
_cell_length_b 4.5783
_cell_length_c 4.5783
_cell_angle_alpha 90.00
_cell_angle_beta 90.00
_cell_angle_gamma 90.00
_space_group_name_H-M_alt 'P m -3 m'
_space_group_IT_number 221
_space_group_name_Hall '-P 4 2 3'
loop_
_atom_site_label
_atom_site_fract_x
_atom_site_fract_y
_atom_site_fract_z
Ga1 0.0000 0.0000 0.5000
C1 0.0000 0.0000 0.0000
Cl1 0.5000 0.5000 0.5000
# Raw formation energy (eV/atom): 0.553
# E above lowest polymorph (eV per formula unit): 0.00

=====

Record 4
# Ga2CCl2 | the Alexandria database | PBE-GGA | optimized geometry
data_Ga2CCl2
_cell_length_a 6.2417
_cell_length_b 6.2417
_cell_length_c 4.7373
_cell_angle_alpha 90.00
_cell_angle_beta 90.00
_cell_angle_gamma 90.00
_space_group_name_H-M_alt 'P 4/m b m'
_space_group_IT_number 127
_space_group_name_Hall '-P 4 2ab'
loop_
_atom_site_label
_atom_site_fract_x
_atom_site_fract_y
_atom_site_fract_z
Ga1 0.2444 0.2556 0.0000
C1 0.0000 0.0000 0.0000
Cl1 0.1795 0.3205 0.5000
# Raw formation energy (eV/atom): 0.431
# E above lowest polymorph (eV per formula unit): 0.00

=====

Record 5
# GaCCl2 | the Alexandria database | PBE-GGA | optimized geometry
data_GaCCl2
_cell_length_a 3.3039
_cell_length_b 3.3039
_cell_length_c 25.7224
_cell_angle_alpha 90.00
_cell_angle_beta 90.00
_cell_angle_gamma 120.00
_space_group_name_H-M_alt 'R -3 m'
_space_group_IT_number 166
_space_group_name_Hall '-R 3 2"'
loop_
_atom_site_label
_atom_site_fract_x
_atom_site_fract_y
_atom_site_fract_z
Ga1 0.0000 0.0000 0.0000
C1 0.0000 0.0000 0.5000
Cl1 0.0000 0.0000 0.1141
# Raw formation energy (eV/atom): 1.178
# E above lowest polymorph (eV per formula unit): 0.47

=====

Record 6
# Ga3CCl | the Alexandria database | PBE-GGA | optimized geometry
data_Ga3CCl
_cell_length_a 5.4237
_cell_length_b 5.4237
_cell_length_c 5.4237
_cell_angle_alpha 90.00
_cell_angle_beta 90.00
_cell_angle_gamma 90.00
_space_group_name_H-M_alt 'P m -3 m'
_space_group_IT_number 221
_space_group_name_Hall '-P 4 2 3'
loop_
_atom_site_label
_atom_site_fract_x
_atom_site_fract_y
_atom_site_fract_z
Ga1 0.0000 0.0000 0.5000
C1 0.5000 0.5000 0.5000
Cl1 0.0000 0.0000 0.0000
# Raw formation energy (eV/atom): 1.520
# E above lowest polymorph (eV per formula unit): 4.83

=====

Record 7
# GaC3Cl | the Alexandria database | PBE-GGA | optimized geometry
data_GaC3Cl
_cell_length_a 3.8697
_cell_length_b 3.8697
_cell_length_c 3.8697
_cell_angle_alpha 90.00
_cell_angle_beta 90.00
_cell_angle_gamma 90.00
_space_group_name_H-M_alt 'P m -3 m'
_space_group_IT_number 221
_space_group_name_Hall '-P 4 2 3'
loop_
_atom_site_label
_atom_site_fract_x
_atom_site_fract_y
_atom_site_fract_z
Ga1 0.0000 0.0000 0.0000
C1 0.0000 0.5000 0.5000
Cl1 0.5000 0.5000 0.5000
# Raw formation energy (eV/atom): 3.327
# E above lowest polymorph (eV per formula unit): 1.73

=====

Record 8
# Ga2CCl | the Alexandria database | PBE-GGA | optimized geometry
data_Ga2CCl
_cell_length_a 5.4873
_cell_length_b 5.4873
_cell_length_c 9.9267
_cell_angle_alpha 90.00
_cell_angle_beta 90.00
_cell_angle_gamma 90.00
_space_group_name_H-M_alt 'I -4 2 d'
_space_group_IT_number 122
_space_group_name_Hall 'I -4 2bw'
loop_
_atom_site_label
_atom_site_fract_x
_atom_site_fract_y
_atom_site_fract_z
Ga1 0.1328 0.2500 0.1250
C1 0.0000 0.0000 0.0000
Cl1 0.0000 0.0000 0.5000
# Raw formation energy (eV/atom): 0.226
# E above lowest polymorph (eV per formula unit): 0.00

=====

Record 9
# GaCCl2 | the Alexandria database | PBE-GGA | optimized geometry
data_GaCCl2
_cell_length_a 4.0536
_cell_length_b 4.0536
_cell_length_c 23.1658
_cell_angle_alpha 90.00
_cell_angle_beta 90.00
_cell_angle_gamma 120.00
_space_group_name_H-M_alt 'R -3 m'
_space_group_IT_number 166
_space_group_name_Hall '-R 3 2"'
loop_
_atom_site_label
_atom_site_fract_x
_atom_site_fract_y
_atom_site_fract_z
Ga1 0.0000 0.0000 0.0000
C1 0.0000 0.0000 0.5000
Cl1 0.0000 0.0000 0.4068
# Raw formation energy (eV/atom): 1.139
# E above lowest polymorph (eV per formula unit): 0.31

=====

Record 10
# GaC3Cl | the Alexandria database | PBE-GGA | optimized geometry
data_GaC3Cl
_cell_length_a 4.1206
_cell_length_b 4.1206
_cell_length_c 4.1206
_cell_angle_alpha 90.00
_cell_angle_beta 90.00
_cell_angle_gamma 90.00
_space_group_name_H-M_alt 'P m -3 m'
_space_group_IT_number 221
_space_group_name_Hall '-P 4 2 3'
loop_
_atom_site_label
_atom_site_fract_x
_atom_site_fract_y
_atom_site_fract_z
Ga1 0.0000 0.0000 0.0000
C1 0.0000 0.0000 0.5000
Cl1 0.5000 0.5000 0.5000
# Raw formation energy (eV/atom): 2.981
# E above lowest polymorph (eV per formula unit): 0.00

=====

Record 11
# GaCCl2 | the Alexandria database | PBE-GGA | optimized geometry
data_GaCCl2
_cell_length_a 6.5416
_cell_length_b 6.5416
_cell_length_c 9.2896
_cell_angle_alpha 90.00
_cell_angle_beta 90.00
_cell_angle_gamma 90.00
_space_group_name_H-M_alt 'I 41/a m d'
_space_group_IT_number 141
loop_
_space_group_symop_operation_xyz
'x,y,z'
'-x,-y,-z'
'-y+1/4,x+3/4,z+1/4'
'y+1/4,-x+3/4,-z+1/4'
'-x+1/2,-y,z+1/2'
'x+1/2,y,-z+1/2'
'y+1/4,-x+1/4,z+3/4'
'-y+1/4,x+1/4,-z+3/4'
'x,-y,-z'
'-x,y,z'
'-y+1/4,-x+1/4,-z+3/4'
'y+1/4,x+1/4,z+3/4'
'-x+1/2,y,-z+1/2'
'x+1/2,-y,z+1/2'
'y+1/4,x+3/4,-z+1/4'
'-y+1/4,-x+3/4,z+1/4'
'x+1/2,y+1/2,z+1/2'
'-x+1/2,-y+1/2,-z+1/2'
'-y+3/4,x+1/4,z+3/4'
'y+3/4,-x+1/4,-z+3/4'
'-x,-y+1/2,z'
'x,y+1/2,-z'
'y+3/4,-x+3/4,z+1/4'
'-y+3/4,x+3/4,-z+1/4'
'x+1/2,-y+1/2,-z+1/2'
'-x+1/2,y+1/2,z+1/2'
'-y+3/4,-x+3/4,-z+1/4'
'y+3/4,x+3/4,z+1/4'
'-x,y+1/2,-z'
'x,-y+1/2,z'
'y+3/4,x+1/4,-z+3/4'
'-y+3/4,-x+1/4,z+3/4'
loop_
_atom_site_label
_atom_site_fract_x
_atom_site_fract_y
_atom_site_fract_z
Ga1 0.0000 0.2500 0.3750
C1 0.0000 0.2500 0.8750
Cl1 0.0000 0.0000 0.0000
# Raw formation energy (eV/atom): 1.061
# E above lowest polymorph (eV per formula unit): 0.00

=====

Record 12
Here is GaPH11C3Cl after structural relaxation from the Alexandria database. Energies are from PBE-GGA.

Geometry as CIF:
```
data_GaPH11C3Cl
_cell_length_a 6.6345
_cell_length_b 7.5310
_cell_length_c 10.0585
_cell_angle_alpha 90.01
_cell_angle_beta 90.21
_cell_angle_gamma 116.12
_space_group_name_H-M_alt 'P -1'
_space_group_IT_number 2
_space_group_name_Hall '-P 1'
loop_
_atom_site_label
_atom_site_fract_x
_atom_site_fract_y
_atom_site_fract_z
Ga1 0.0596 0.3422 0.2497
P1 0.3313 0.6879 0.2495
H1 0.0742 0.2516 0.1123
H2 0.0783 0.2523 0.3867
H3 0.0964 0.8294 0.1596
H4 0.0958 0.8298 0.3368
H5 0.3328 0.0102 0.2489
H6 0.3653 0.0873 0.6100
H7 0.3658 0.0890 0.8905
H8 0.3893 0.3339 0.6066
H9 0.3899 0.3356 0.8929
H10 0.4167 0.7211 0.0137
H11 0.4177 0.7236 0.4855
C1 0.2021 0.8564 0.2486
C2 0.4836 0.2452 0.6064
C3 0.4842 0.2468 0.8940
Cl1 0.2702 0.6302 0.7490
```

=====

Record 13
# Mg2GaCCl | the Alexandria database | PBE-GGA | optimized geometry
data_Mg2GaCCl
_cell_length_a 4.4400
_cell_length_b 4.4400
_cell_length_c 4.6140
_cell_angle_alpha 90.00
_cell_angle_beta 90.00
_cell_angle_gamma 90.00
_space_group_name_H-M_alt 'P 4/m m m'
_space_group_IT_number 123
_space_group_name_Hall '-P 4 2'
loop_
_atom_site_label
_atom_site_fract_x
_atom_site_fract_y
_atom_site_fract_z
Mg1 0.0000 0.5000 0.0000
Ga1 0.0000 0.0000 0.5000
C1 0.0000 0.0000 0.0000
Cl1 0.5000 0.5000 0.5000
# Raw formation energy (eV/atom): 0.050

=====

Size of the total moment for every record listed, in sequence, given in μB/f.u.: 1.0; 0.0; 0.0; 1.0; 0.0; 2.1; 0.0; 0.0; 1.0; 1.7; 0.6; 0.0; 0.0.
Raw total energy for every record listed, in sequence, given in eV/atom: -2.6053; -3.2911; -3.4773; -3.3628; -2.8075; -2.5104; -3.1817; -4.0552; -2.8467; -3.5279; -2.9250; -4.6750; -3.4076.